Record 1
Here is CsTlTe2Au after structural relaxation from Alexandria. Energies are from PBE.

Calculated values
The energy relative to the lowest polymorph listed for this composition is 169.5 meV per atom. The formation energy (no corrections) is -0.30 eV per atom. The total DFT energy (no corrections) is -2.860 eV/atom.

abc: 5.761 5.761 5.673
angles: 90.00 90.00 90.00
Fractional positions:
Cs 0.500 0.500 0.500
Tl 0.000 0.000 0.500
Te 0.000 0.500 0.000
Te 0.500 0.000 0.000
Au 0.000 0.000 0.000



Record 2
Here is CdAg2PdF8 after structural relaxation from Alexandria. Energies are from PBE.

Calculated values
The formation energy (no corrections) is -1.29 eV per atom. The total DFT energy (no corrections) is -3.523 eV/atom.

abc: 6.320 6.320 6.320
angles: 114.28 114.28 100.22
Fractional positions:
Cd 0.250 0.750 0.500
Ag 0.750 0.250 0.500
Ag 0.500 0.500 0.000
Pd 0.000 0.000 0.000
F 0.314 0.022 0.293
F 0.288 0.474 0.186
F 0.288 0.102 0.814
F 0.729 0.022 0.707
F 0.898 0.712 0.186
F 0.978 0.271 0.293
F 0.978 0.686 0.707
F 0.526 0.712 0.814



Record 3
Here is EuHg4Pd after structural relaxation from Alexandria. Energies are from PBE.

Calculated values
The total DFT energy (no corrections) is -2.933 eV/atom. For the energy relative to the elements, the calculation gives -0.1542 eV/atom.

abc: 5.879 5.879 5.879
angles: 60.00 60.00 60.00
Fractional positions:
Eu 0.250 0.250 0.250
Hg 0.626 0.626 0.123
Hg 0.626 0.123 0.626
Hg 0.626 0.626 0.626
Hg 0.123 0.626 0.626
Pd 0.000 0.000 0.000



Record 4
Here is Te3Ru5 after structural relaxation from Alexandria. Energies are from PBE.

Calculated values
The energy relative to the lowest polymorph listed for this composition is 97.1 meV per atom. The formation energy (no corrections) is 0.32 eV per atom. The total DFT energy (no corrections) is -6.659 eV/atom.

abc: 5.703 5.703 4.227
angles: 90.00 90.00 100.87
Fractional positions:
Te 0.500 0.500 0.000
Te 0.803 0.197 0.500
Te 0.197 0.803 0.500
Ru 0.000 0.000 0.000
Ru 0.000 0.500 0.000
Ru 0.500 0.000 0.000
Ru 0.279 0.279 0.500
Ru 0.721 0.721 0.500



Record 5
Here is PrGe2Au after structural relaxation from Alexandria. Energies are from PBE.

Calculated values
The total DFT energy (no corrections) is -4.832 eV/atom. For the energy relative to the elements, the calculation gives -0.5090 eV/atom.

abc: 4.349 4.349 5.904
angles: 68.39 68.39 60.00
Fractional positions:
Pr 0.000 0.000 0.000
Ge 0.773 0.773 0.680
Ge 0.227 0.227 0.320
Au 0.500 0.500 0.500



Record 6
Here is Pu2Ga3GeAu4 after structural relaxation from Alexandria. Energies are from PBE.

Calculated values
The total DFT energy (no corrections) is -5.919 eV/atom. For the energy relative to the elements, the calculation gives -0.3716 eV/atom.

abc: 4.430 4.430 10.601
angles: 90.00 90.00 90.00
Fractional positions:
Pu 0.500 0.000 0.249
Pu 0.000 0.500 0.751
Ga 0.000 0.000 0.500
Ga 0.500 0.000 0.869
Ga 0.000 0.500 0.131
Ge 0.500 0.500 0.500
Au 0.500 0.500 0.000
Au 0.000 0.000 0.000
Au 0.500 0.000 0.634
Au 0.000 0.500 0.366



Record 7
Here is Tb2ErPuO8 after structural relaxation from Alexandria. Energies are from PBE.

Calculated values
The formation energy (no corrections) is -3.09 eV per atom. The total DFT energy (no corrections) is -8.741 eV/atom.

abc: 5.099 5.101 6.959
angles: 90.00 90.00 91.18
Fractional positions:
Tb 0.500 0.500 0.741
Tb 0.500 0.500 0.259
Er 0.000 0.000 0.500
Pu 0.000 0.000 0.000
O 0.182 0.818 0.224
O 0.721 0.722 0.000
O 0.818 0.182 0.224
O 0.818 0.182 0.776
O 0.279 0.278 0.000
O 0.182 0.818 0.776
O 0.695 0.695 0.500
O 0.305 0.305 0.500



Record 8
Here is TiBeSN2 after structural relaxation from Alexandria. Energies are from PBE.

Calculated values
The energy relative to the lowest polymorph listed for this composition is 0.0 meV per atom. The formation energy (no corrections) is 0.41 eV per atom. The total DFT energy (no corrections) is -6.073 eV/atom.

abc: 3.423 3.423 4.658
angles: 90.00 90.00 90.00
Fractional positions:
Be 0.000 0.000 0.000
S 0.000 0.000 0.500
N 0.000 0.500 0.000
N 0.500 0.000 0.000
Ti 0.500 0.500 0.500